[1]
VASP calculation (PBE-GGA) on TcPRu after structural relaxation.

Its formation energy is -1 kJ/mol of formula units. As for the energy above the most stable polymorph in this dataset: 286 meV/atom.

The structure belongs to space group Imm2 (No. 44); the cell edges are 2.858, 3.908 and 7.377 Å and the angles 90.00°, 90.00° and 90.00°. The inequivalent atoms are Tc at (0.000, 0.000, 0.000), P at (0.000, 0.000, 0.325) and Ru at (0.000, 0.000, 0.650).

***

[2]
VASP calculation (PBE-GGA) on Cd4Rh2Au after structural relaxation.

Its formation energy is -56 kJ/mol of formula units.

The structure belongs to space group R-3m (No. 166, hexagonal axes); the cell edges are 4.6366, 4.6366 and 21.6976 Å and the angles 90.00°, 90.00° and 120.00°. The inequivalent atoms are Cd at (0.0000, 0.0000, 0.1094), Cd at (0.0000, 0.0000, 0.3673), Rh at (0.0000, 0.0000, 0.2402) and Au at (0.0000, 0.0000, 0.5000).

***

[3]
VASP calculation (PBE-GGA) on SrMn2Se after structural relaxation.

The structure belongs to space group P4/mmm (No. 123); the cell edges are 3.557, 3.557 and 6.257 Å and the angles 90.00°, 90.00° and 90.00°. The inequivalent atoms are Sr at (0.000, 0.000, 0.000), Mn at (0.500, 0.500, 0.348) and Se at (0.000, 0.000, 0.500).

***

[4]
VASP calculation (PBE-GGA) on Pd2WAu after structural relaxation.

Its formation energy is 95 kJ/mol of formula units. As for the energy above the most stable polymorph in this dataset: 321 meV/atom.

The structure belongs to space group Fm-3m (No. 225); the cell edges are 6.353, 6.353 and 6.353 Å and the angles 90.00°, 90.00° and 90.00°. The inequivalent atoms are Pd at (0.250, 0.250, 0.250), W at (0.000, 0.000, 0.000) and Au at (0.000, 0.000, 0.500).

***

[5]
VASP calculation (PBE-GGA) on ReOs6 after structural relaxation.

Its formation energy is 78 kJ/mol of formula units. As for the energy above the most stable polymorph in this dataset: 0 meV/atom.

The structure belongs to space group C2/m (No. 12); the cell edges are 8.653, 3.865 and 6.102 Å and the angles 90.00°, 98.05° and 90.00°. The inequivalent atoms are Re at (0.000, 0.000, 0.000), Os at (0.072, 0.500, 0.715), Os at (0.143, 0.000, 0.427) and Os at (0.214, 0.500, 0.144).

***

[6]
VASP calculation (PBE-GGA) on YSn3I after structural relaxation.

As for the energy above the most stable polymorph in this dataset: 0 meV/atom.

The structure belongs to space group Pm-3m (No. 221); the cell edges are 5.967, 5.967 and 5.967 Å and the angles 90.00°, 90.00° and 90.00°. The inequivalent atoms are Y at (0.000, 0.000, 0.000), Sn at (0.000, 0.000, 0.500) and I at (0.500, 0.500, 0.500).

***

[7]
VASP calculation (PBE-GGA) on LaCd2SiB after structural relaxation.

The structure belongs to space group P4/mmm (No. 123); the cell edges are 6.033, 6.033 and 4.537 Å and the angles 90.00°, 90.00° and 90.00°. The inequivalent atoms are La at (0.000, 0.000, 0.000), Cd at (0.000, 0.500, 0.000), Si at (0.500, 0.500, 0.500) and B at (0.000, 0.000, 0.500).

***

[8]
VASP calculation (PBE-GGA) on NaEuHoHg after structural relaxation.

Its formation energy is -31 kJ/mol of formula units.

The structure belongs to space group F-43m (No. 216); the cell edges are 7.750, 7.750 and 7.750 Å and the angles 90.00°, 90.00° and 90.00°. The inequivalent atoms are Na at (0.000, 0.000, 0.000), Eu at (0.250, 0.250, 0.250), Ho at (0.250, 0.250, 0.750) and Hg at (0.000, 0.000, 0.500).

***

Record order is preserved below.
N(E_F): 5.0, 9.1, 3.8, 12.8, 13.0, 8.9, 4.6, 29.1 states/eV/cell
Record order is preserved below.
Energy: -8.356, -3.175, -5.284, -6.407, -11.288, -3.590, -2.206, -4.198 eV per atom